Cu3MoF | PBE+U | optimized geometry

```
data_Cu3MoF
_symmetry_space_group_name_H-M 'P 1'
_symmetry_Int_Tables_number 1
_cell_length_a 4.764
_cell_length_b 4.764
_cell_length_c 4.764
_cell_angle_alpha 90.00
_cell_angle_beta 90.00
_cell_angle_gamma 90.00
loop_
_symmetry_equiv_pos_as_xyz
'x,y,z'
loop_
_atom_site_label
_atom_site_type_symbol
_atom_site_fract_x
_atom_site_fract_y
_atom_site_fract_z
Cu1 Cu 0.000 0.000 0.500
Cu2 Cu 0.000 0.500 0.000
Cu3 Cu 0.500 0.000 0.000
Mo1 Mo 0.000 0.000 0.000
F1 F 0.500 0.500 0.500
```

Summary:
Magnetization (μB per atom): 0.004
V (Å³/f.u.): 108
Space group: Pm-3m
Energy relative to the lowest polymorph listed for this composition (meV per atom): 1074.9